Computed, not measured: a geometry-optimized CsFePb2F8 structure at the PBE+U level of DFT.

Cell and atoms, written as POSCAR:
```
CsFePb2F8
1.0
5.4845 0.0000 0.0000
0.7521 5.5967 0.0000
2.6329 0.3238 7.1468
Cs Fe Pb F
1 1 2 8
Cartesian
0.0000 0.0000 0.0000 Cs
1.3164 0.1619 3.5734 Fe
3.2115 2.7130 1.9672 Pb
5.6580 3.2075 5.1796 Pb
2.1526 1.7313 4.3843 F
3.4443 4.5656 4.2873 F
1.8170 2.7214 0.0957 F
2.4279 0.4190 1.9368 F
6.4416 5.5015 5.2100 F
7.0525 3.1991 7.0511 F
5.4252 1.3549 2.8595 F
6.7169 4.1892 2.7625 F
```

Values from the calculation:
- M_tot: 4.95 μB per cell
- Total DFT energy (no corrections): -58.6 eV/f.u.